Record 1
The following is a PBE-GGA calculation of an optimized crystal structure of CrAg2Pb, from the Alexandria database.

The structure belongs to space group P4mm (No. 99); the cell edges are 3.5359, 3.5359 and 6.5115 Å and the angles 90.00°, 90.00° and 90.00°. The distinct sites, in fractional coordinates, are Cr at (0.0000, 0.0000, 0.0000), Ag at (0.0000, 0.0000, 0.5551), Ag at (0.5000, 0.5000, 0.7780) and Pb at (0.5000, 0.5000, 0.2671).

As for the formation energy: 344 meV per atom.

---

Record 2
The following is a PBE-GGA calculation of an optimized crystal structure of Cr2AgPb, from the Alexandria database.

The structure belongs to space group I-4m2 (No. 119); the cell edges are 4.1546, 4.1546 and 9.0370 Å and the angles 90.00°, 90.00° and 90.00°. The distinct sites, in fractional coordinates, are Cr at (0.0000, 0.0000, 0.0000), Cr at (0.0000, 0.5000, 0.2500), Ag at (0.0000, 0.0000, 0.5000) and Pb at (0.0000, 0.5000, 0.7500).

As for the formation energy: 652 meV per atom.